Record 1
The following is a DFT calculation (PBE) of Sm2CuP3Pd4 after structural relaxation. Values from VASP.

Geometry as Quantum ESPRESSO input:
```
&SYSTEM
  ibrav = 0, nat = 10, ntyp = 4
/
ATOMIC_SPECIES
Sm 150.36 Sm.upf
Pd 106.42 Pd.upf
Cu 63.55 Cu.upf
P 30.97 P.upf
ATOMIC_POSITIONS crystal
Sm 0.000 0.500 0.752
Sm 0.500 0.000 0.248
Pd 0.000 0.000 0.000
Pd 0.500 0.500 0.000
Pd 0.000 0.500 0.375
Pd 0.500 0.000 0.625
Cu 0.500 0.500 0.500
P 0.000 0.500 0.138
P 0.000 0.000 0.500
P 0.500 0.000 0.862
CELL_PARAMETERS angstrom
-0.049 -4.178 0.474
3.359 0.247 2.517
-5.926 0.956 7.814
```

Formation energy, meV/atom: -855
M_tot, μB per formula unit: 0.00
D(E_F), states/eV/atom: 0.366
Volume, Å³ per cell: 174.2
SG: P-4m2 (115)

=====

Record 2
The following is a DFT calculation (PBE) of Sm2CuP4Pd3 after structural relaxation. Values from VASP.

Geometry as Quantum ESPRESSO input:
```
&SYSTEM
  ibrav = 0, nat = 10, ntyp = 4
/
ATOMIC_SPECIES
P 30.97 P.upf
Pd 106.42 Pd.upf
Sm 150.36 Sm.upf
Cu 63.55 Cu.upf
ATOMIC_POSITIONS crystal
P 0.000 0.500 0.370
P 0.000 0.000 0.000
P 0.500 0.500 0.000
P 0.500 0.000 0.630
Pd 0.000 0.000 0.500
Pd 0.000 0.500 0.118
Pd 0.500 0.000 0.882
Sm 0.500 0.000 0.246
Sm 0.000 0.500 0.754
Cu 0.500 0.500 0.500
CELL_PARAMETERS angstrom
4.261 0.000 0.000
0.000 4.261 0.000
0.000 0.000 9.534
```

Formation energy, meV/atom: -843
M_tot, μB per formula unit: 0.00
D(E_F), states/eV/atom: 0.245
Volume, Å³ per cell: 173.1
SG: P-4m2 (115)